The following is a DFT calculation (GGA-PBE) of a relaxed structure of Li2NpSe3.

Summary:
The value obtained for the volume is 147.2 Å³/f.u. The density of states at the Fermi level comes out at 1.69 states/eV per atom. Its calculated density is 5.5 Mg/m³. Its raw formation energy is -1.169 eV per atom.

Cell: 4.181 5.639 6.850 Å, 114.31 90.00 90.00°
Fractional coordinates of all 6 atoms:
Se 0.500 0.150 0.300
Se 0.500 0.850 0.700
Se 0.000 0.500 0.000
Np 0.000 0.000 0.000
Li 0.500 0.363 0.726
Li 0.500 0.637 0.274

=====

The following is a DFT calculation (GGA-PBE) of a relaxed structure of LiNp2Se3.

Summary:
The value obtained for the volume is 144.4 Å³/f.u. The density of states at the Fermi level comes out at 2.58 states/eV per atom. Its calculated density is 8.3 Mg/m³. Its raw formation energy is -1.165 eV per atom.

Cell: 4.080 5.780 7.071 Å, 114.12 106.77 90.00°
Fractional coordinates of all 6 atoms:
Se 0.836 0.336 0.173
Np 0.167 0.167 0.833
Np 0.833 0.833 0.167
Se 0.500 0.000 0.500
Li 0.500 0.500 0.500
Se 0.164 0.664 0.827

=====

The following is a DFT calculation (GGA-PBE) of a relaxed structure of LiNp4Se6.

Summary:
The value obtained for the volume is 253.3 Å³/f.u. The density of states at the Fermi level comes out at 3.18 states/eV per atom. Its calculated density is 9.4 Mg/m³. Its raw formation energy is -1.136 eV per atom.

Cell: 7.972 7.972 7.972 Å, 89.30 89.30 90.70°
Fractional coordinates of all 22 atoms:
Se 0.420 0.560 0.814
Se 0.814 0.580 0.560
Se 0.940 0.080 0.686
Np 0.863 0.250 0.363
Se 0.080 0.314 0.060
Se 0.580 0.440 0.186
Li 0.500 0.500 0.500
Li 0.000 0.000 0.000
Np 0.250 0.250 0.750
Se 0.920 0.686 0.940
Se 0.060 0.920 0.314
Se 0.560 0.186 0.580
Np 0.137 0.750 0.637
Np 0.363 0.137 0.250
Np 0.250 0.637 0.137
Np 0.637 0.863 0.750
Np 0.750 0.750 0.250
Se 0.440 0.814 0.420
Se 0.686 0.060 0.080
Se 0.186 0.420 0.440
Se 0.314 0.940 0.920
Np 0.750 0.363 0.863

=====

- The lowest volume belongs to which entry?
  LiNp2Se3

=====

Repeat the third record exactly.
The following is a DFT calculation (GGA-PBE) of a relaxed structure of LiNp4Se6.

Summary:
The value obtained for the volume is 253.3 Å³/f.u. The density of states at the Fermi level comes out at 3.18 states/eV per atom. Its calculated density is 9.4 Mg/m³. Its raw formation energy is -1.136 eV per atom.

Cell: 7.972 7.972 7.972 Å, 89.30 89.30 90.70°
Fractional coordinates of all 22 atoms:
Se 0.420 0.560 0.814
Se 0.814 0.580 0.560
Se 0.940 0.080 0.686
Np 0.863 0.250 0.363
Se 0.080 0.314 0.060
Se 0.580 0.440 0.186
Li 0.500 0.500 0.500
Li 0.000 0.000 0.000
Np 0.250 0.250 0.750
Se 0.920 0.686 0.940
Se 0.060 0.920 0.314
Se 0.560 0.186 0.580
Np 0.137 0.750 0.637
Np 0.363 0.137 0.250
Np 0.250 0.637 0.137
Np 0.637 0.863 0.750
Np 0.750 0.750 0.250
Se 0.440 0.814 0.420
Se 0.686 0.060 0.080
Se 0.186 0.420 0.440
Se 0.314 0.940 0.920
Np 0.750 0.363 0.863

=====

- What is the formula in the third record?
  LiNp4Se6

=====

Please write out number 2 again, unchanged.
The following is a DFT calculation (GGA-PBE) of a relaxed structure of LiNp2Se3.

Summary:
The value obtained for the volume is 144.4 Å³/f.u. The density of states at the Fermi level comes out at 2.58 states/eV per atom. Its calculated density is 8.3 Mg/m³. Its raw formation energy is -1.165 eV per atom.

Cell: 4.080 5.780 7.071 Å, 114.12 106.77 90.00°
Fractional coordinates of all 6 atoms:
Se 0.836 0.336 0.173
Np 0.167 0.167 0.833
Np 0.833 0.833 0.167
Se 0.500 0.000 0.500
Li 0.500 0.500 0.500
Se 0.164 0.664 0.827